[1]
# GGA-PBE BeAlCl2, relaxed
# * DOS at the Fermi energy: 1.35 states/eV/cell
# * DFT total energy: -12.45 eV/cell
# * energy relative to the lowest polymorph listed for this composition: 329 meV/atom
# * formation energy (no corrections): -0.32 eV/atom
# * SG: Immm, No. 71
data_BeAlCl2
_chemical_formula_sum 'Be1 Al1 Cl2'
_cell_length_a 5.8471
_cell_length_b 5.8471
_cell_length_c 5.8471
_cell_angle_alpha 149.68
_cell_angle_beta 115.94
_cell_angle_gamma 72.50
_symmetry_space_group_name_H-M 'P 1'
_symmetry_Int_Tables_number 1
loop_
_symmetry_equiv_pos_as_xyz
'x,y,z'
loop_
_atom_site_label
_atom_site_type_symbol
_atom_site_fract_x
_atom_site_fract_y
_atom_site_fract_z
Be1 Be 0.2500 0.7500 0.5000
Al1 Al 0.7500 0.2500 0.5000
Cl1 Cl 0.0929 0.0929 0.0000
Cl2 Cl 0.4071 0.4071 0.0000

[2]
# GGA-PBE La2VAuN, relaxed
# * DOS at the Fermi energy: 2.71 states/eV/cell
# * DFT total energy: -34.56 eV/cell
# * formation energy (no corrections): -0.80 eV/atom
# * SG: P4/mmm, No. 123
data_La2VAuN
_chemical_formula_sum 'La2 V1 Au1 N1'
_cell_length_a 5.3029
_cell_length_b 5.3029
_cell_length_c 3.8948
_cell_angle_alpha 90.00
_cell_angle_beta 90.00
_cell_angle_gamma 90.00
_symmetry_space_group_name_H-M 'P 1'
_symmetry_Int_Tables_number 1
loop_
_symmetry_equiv_pos_as_xyz
'x,y,z'
loop_
_atom_site_label
_atom_site_type_symbol
_atom_site_fract_x
_atom_site_fract_y
_atom_site_fract_z
N1 N 0.0000 0.0000 0.0000
V1 V 0.0000 0.0000 0.5000
Au1 Au 0.5000 0.5000 0.5000
La1 La 0.0000 0.5000 0.0000
La2 La 0.5000 0.0000 0.0000

[3]
# GGA-PBE Cu2Ag2PdAu2, relaxed
# * DOS at the Fermi energy: 2.18 states/eV/cell
# * DFT total energy: -25.46 eV/cell
# * SG: C2/m, No. 12
# * ΔH_f (0 K): 26 meV/atom
data_Cu2Ag2PdAu2
_chemical_formula_sum 'Cu2 Ag2 Pd1 Au2'
_cell_length_a 4.7636
_cell_length_b 6.7734
_cell_length_c 7.5521
_cell_angle_alpha 144.26
_cell_angle_beta 90.00
_cell_angle_gamma 110.59
_symmetry_space_group_name_H-M 'P 1'
_symmetry_Int_Tables_number 1
loop_
_symmetry_equiv_pos_as_xyz
'x,y,z'
loop_
_atom_site_label
_atom_site_type_symbol
_atom_site_fract_x
_atom_site_fract_y
_atom_site_fract_z
Cu1 Cu 0.7180 0.4360 0.3614
Cu2 Cu 0.2820 0.5640 0.6386
Ag1 Ag 0.8536 0.7073 0.9182
Ag2 Ag 0.1464 0.2927 0.0818
Pd1 Pd 0.0000 0.0000 0.5000
Au1 Au 0.5646 0.1291 0.7909
Au2 Au 0.4354 0.8709 0.2091

[4]
# GGA-PBE CrCoSe2, relaxed
# * DOS at the Fermi energy: 5.89 states/eV/cell
# * DFT total energy: -22.67 eV/cell
# * energy relative to the lowest polymorph listed for this composition: 641 meV/atom
# * formation energy (no corrections): 0.26 eV/atom
# * SG: I-4m2, No. 119
data_CrCoSe2
_chemical_formula_sum 'Cr1 Co1 Se2'
_cell_length_a 7.8195
_cell_length_b 7.8195
_cell_length_c 7.8195
_cell_angle_alpha 154.27
_cell_angle_beta 154.27
_cell_angle_gamma 36.71
_symmetry_space_group_name_H-M 'P 1'
_symmetry_Int_Tables_number 1
loop_
_symmetry_equiv_pos_as_xyz
'x,y,z'
loop_
_atom_site_label
_atom_site_type_symbol
_atom_site_fract_x
_atom_site_fract_y
_atom_site_fract_z
Co1 Co 0.5000 0.5000 0.0000
Cr1 Cr 0.7500 0.2500 0.5000
Se1 Se 0.0000 0.0000 0.0000
Se2 Se 0.2500 0.7500 0.5000